Crystalline Be2FePb at its relaxed geometry, computed with PBE.

Cell and atoms, written as CIF:
```
data_Be2FePb
_chemical_formula_sum 'Be4 Fe2 Pb2'
_symmetry_space_group_name_H-M 'P 1'
_symmetry_Int_Tables_number 1
_symmetry_space_group_name_Hall 'P 1'
_cell_length_a 3.9772
_cell_length_b 3.9772
_cell_length_c 8.2588
_cell_angle_alpha 76.07
_cell_angle_beta 76.07
_cell_angle_gamma 90.00
loop_
_atom_site_label
_atom_site_type_symbol
_atom_site_fract_x
_atom_site_fract_y
_atom_site_fract_z
_atom_site_occupancy
Fe1 Fe 0.2500 0.7500 0.5000 1
Be1 Be 0.3747 0.6250 0.2500 1
Be2 Be 0.3753 0.1250 0.2500 1
Be3 Be 0.3750 0.6247 0.7500 1
Pb1 Pb 0.0000 0.0000 0.0000 1
Pb2 Pb 0.7500 0.2500 0.5000 1
Fe2 Fe 0.5000 0.5000 0.0000 1
Be4 Be 0.8750 0.6253 0.7500 1
```

## Properties
calculated formation energy	0.6727	eV/atom
space group	No. 141

Crystalline BeFePb2 at its relaxed geometry, computed with PBE.

Cell and atoms, written as CIF:
```
data_BeFePb2
_chemical_formula_sum 'Be1 Fe1 Pb2'
_symmetry_space_group_name_H-M 'P 1'
_symmetry_Int_Tables_number 1
_symmetry_space_group_name_Hall 'P 1'
_cell_length_a 5.9082
_cell_length_b 5.9088
_cell_length_c 5.9071
_cell_angle_alpha 140.76
_cell_angle_beta 140.76
_cell_angle_gamma 56.70
loop_
_atom_site_label
_atom_site_type_symbol
_atom_site_fract_x
_atom_site_fract_y
_atom_site_fract_z
_atom_site_occupancy
Be1 Be 0.5001 0.4999 0.0000 1
Fe1 Fe 0.7501 0.2499 0.5000 1
Pb1 Pb 0.9996 0.0005 0.0000 1
Pb2 Pb 0.2502 0.7497 0.5000 1
```

## Properties
calculated formation energy	0.7628	eV/atom
space group	No. 119